## K2ZrVS4 (PBE-GGA)

Data for a geometry-optimized K2ZrVS4 structure.

a = 7.140 Å, b = 7.140 Å, c = 8.959 Å
α = 90.00°, β = 90.00°, γ = 90.00°
Space group I-4 (No. 82)
Asymmetric unit:
K1 0.000 0.000 0.000
K2 0.000 0.500 0.250
Zr1 0.000 0.000 0.500
V1 0.000 0.500 0.750
S1 0.161 0.245 0.641

## Properties
Magnetic moment = 6.0 μB per cell
Density of states at the Fermi level = 0.50 states/eV per atom
Raw formation energy = -1.13 eV per atom

## KW3S (PBE-GGA)

Data for a geometry-optimized KW3S structure.

a = 4.584 Å, b = 4.584 Å, c = 4.584 Å
α = 90.00°, β = 90.00°, γ = 90.00°
Space group Pm-3m (No. 221)
Asymmetric unit:
K1 0.000 0.000 0.000
W1 0.000 0.000 0.500
S1 0.500 0.500 0.500

## Properties
Excess energy over the best structure of this formula in the dataset = 2.511 eV/atom
Magnetic moment = 0.0 μB per cell
Density of states at the Fermi level = 1.34 states/eV per atom
Raw formation energy = 4.03 eV per atom

## KW3S (PBE-GGA)

Data for a geometry-optimized KW3S structure.

a = 4.587 Å, b = 4.587 Å, c = 4.587 Å
α = 90.00°, β = 90.00°, γ = 90.00°
Space group Pm-3m (No. 221)
Asymmetric unit:
K1 0.000 0.000 0.000
W1 0.000 0.500 0.500
S1 0.500 0.500 0.500

## Properties
Excess energy over the best structure of this formula in the dataset = 0.000 eV/atom
Magnetic moment = 0.0 μB per cell
Density of states at the Fermi level = 1.23 states/eV per atom
Raw formation energy = 1.52 eV per atom